{
  "formula": "Tb4CS3",
  "functional": "PBE",
  "state": "optimized geometry",
  "vol_a3_per_atom": 20.5,
  "crystal_system": "orthorhombic",
  "sg": "Cmmm (65)",
  "polymorph_energy_mev_per_atom": 0,
  "lattice": [[3.916, -5.478, 0.000], [3.916, 5.478, 0.000], [0.000, 0.000, 3.820]],
  "species": ["Tb", "Tb", "Tb", "Tb", "C", "S", "S", "S"],
  "frac_coords": [[0.220, 0.220, 0.500], [0.231, 0.769, 0.000], [0.769, 0.231, 0.000], [0.780, 0.780, 0.500], [0.000, 0.000, 0.000], [0.000, 0.500, 0.500], [0.500, 0.000, 0.500], [0.500, 0.500, 0.000]]
}

{
  "formula": "Ca2MgBiO",
  "functional": "PBE",
  "state": "optimized geometry",
  "vol_a3_per_atom": 22.1,
  "crystal_system": "tetragonal",
  "sg": "P4/mmm (123)",
  "lattice": [[4.949, 0.000, 0.000], [0.000, 4.949, 0.000], [0.000, 0.000, 4.501]],
  "species": ["Ca", "Ca", "Mg", "Bi", "O"],
  "frac_coords": [[0.000, 0.500, 0.000], [0.500, 0.000, 0.000], [0.000, 0.000, 0.500], [0.500, 0.500, 0.500], [0.000, 0.000, 0.000]]
}

For each record above, in turn, the calculated raw formation energy values are -1.679, -1.399 eV/atom.